# Pm2Nd4Mg PBE optimized geometry
data_Pm2Nd4Mg
_chemical_formula_sum 'Pm2 Nd4 Mg1'
_cell_length_a 4.770
_cell_length_b 4.770
_cell_length_c 11.522
_cell_angle_alpha 90.00
_cell_angle_beta 90.00
_cell_angle_gamma 90.00
_space_group_name_H-M_alt 'P -4 2 m'
_space_group_IT_number 111
loop_
_space_group_symop_operation_xyz
'x,y,z'
'y,-x,-z'
'-x,-y,z'
'-y,x,-z'
'x,-y,-z'
'y,x,z'
'-x,y,-z'
'-y,-x,z'
loop_
_atom_site_label
_atom_site_type_symbol
_atom_site_fract_x
_atom_site_fract_y
_atom_site_fract_z
Pm1 Pm 0.000 0.500 0.000
Nd1 Nd 0.241 0.241 0.735
Mg1 Mg 0.500 0.500 0.500
# V (Å³/atom): 37.45
# DFT total energy (eV/atom): -3.81
# ΔE_f (eV/atom): 0.504
# DOS(E_F) (states/eV per cell): 10.70
# Excess energy over the best structure of this formula in the dataset (eV/atom): 0.337

---

# BaHgN2F PBE optimized geometry
data_BaHgN2F
_chemical_formula_sum 'Ba1 Hg1 N2 F1'
_cell_length_a 5.690
_cell_length_b 5.690
_cell_length_c 4.990
_cell_angle_alpha 90.00
_cell_angle_beta 90.00
_cell_angle_gamma 90.00
_space_group_name_H-M_alt 'P 4/m m m'
_space_group_IT_number 123
_space_group_name_Hall '-P 4 2'
loop_
_atom_site_label
_atom_site_type_symbol
_atom_site_fract_x
_atom_site_fract_y
_atom_site_fract_z
Ba1 Ba 0.000 0.000 0.000
Hg1 Hg 0.500 0.500 0.500
N1 N 0.000 0.500 0.000
F1 F 0.000 0.000 0.500
# V (Å³/atom): 32.31
# DFT total energy (eV/atom): -3.70
# DOS(E_F) (states/eV per cell): 1.42
# Uncorrected formation energy (meV per atom): 454
# Excess energy over the best structure of this formula in the dataset (eV/atom): 0.384

---

# Tc2AgOs2 PBE optimized geometry
data_Tc2AgOs2
_chemical_formula_sum 'Tc4 Ag2 Os4'
_cell_length_a 7.600
_cell_length_b 7.600
_cell_length_c 2.750
_cell_angle_alpha 90.00
_cell_angle_beta 90.00
_cell_angle_gamma 90.00
_space_group_name_H-M_alt 'P 4/m b m'
_space_group_IT_number 127
_space_group_name_Hall '-P 4 2ab'
loop_
_atom_site_label
_atom_site_type_symbol
_atom_site_fract_x
_atom_site_fract_y
_atom_site_fract_z
Tc1 Tc 0.166 0.334 0.000
Ag1 Ag 0.000 0.000 0.500
Os1 Os 0.124 0.624 0.500
# V (Å³/atom): 15.88
# DFT total energy (eV/atom): -8.93
# ΔE_f (eV/atom): 0.281
# DOS(E_F) (states/eV per cell): 7.80
# Excess energy over the best structure of this formula in the dataset (eV/atom): 0.000

---

# Sr2Li5Hg5 PBE optimized geometry
data_Sr2Li5Hg5
_chemical_formula_sum 'Sr2 Li5 Hg5'
_cell_length_a 4.664
_cell_length_b 5.825
_cell_length_c 10.538
_cell_angle_alpha 90.00
_cell_angle_beta 90.00
_cell_angle_gamma 90.00
_space_group_name_H-M_alt 'P m m m'
_space_group_IT_number 47
loop_
_space_group_symop_operation_xyz
'x,y,z'
'-x,-y,-z'
'-x,-y,z'
'x,y,-z'
'x,-y,-z'
'-x,y,z'
'-x,y,-z'
'x,-y,z'
loop_
_atom_site_label
_atom_site_type_symbol
_atom_site_fract_x
_atom_site_fract_y
_atom_site_fract_z
Sr1 Sr 0.000 0.000 0.000
Sr2 Sr 0.000 0.500 0.500
Li1 Li 0.500 0.000 0.500
Li2 Li 0.500 0.248 0.246
Hg1 Hg 0.000 0.000 0.332
Hg2 Hg 0.000 0.500 0.187
Hg3 Hg 0.500 0.500 0.000
# V (Å³/atom): 23.86
# DFT total energy (eV/atom): -1.58
# ΔE_f (eV/atom): -0.375
# DOS(E_F) (states/eV per cell): 4.94

---

# La4Si2O PBE optimized geometry
data_La4Si2O
_chemical_formula_sum 'La8 Si4 O2'
_cell_length_a 4.795
_cell_length_b 4.795
_cell_length_c 16.339
_cell_angle_alpha 90.00
_cell_angle_beta 90.00
_cell_angle_gamma 90.00
_space_group_name_H-M_alt 'I 4/m m m'
_space_group_IT_number 139
_space_group_name_Hall '-I 4 2'
loop_
_atom_site_label
_atom_site_type_symbol
_atom_site_fract_x
_atom_site_fract_y
_atom_site_fract_z
La1 La 0.000 0.000 0.179
La2 La 0.000 0.500 0.000
Si1 Si 0.000 0.000 0.365
O1 O 0.000 0.000 0.000
# V (Å³/atom): 26.83
# DFT total energy (eV/atom): -6.26
# DOS(E_F) (states/eV per cell): 12.79
# Uncorrected formation energy (meV per atom): -1187
# Excess energy over the best structure of this formula in the dataset (eV/atom): 0.000

---

# HgSeCl2 PBE optimized geometry
data_HgSeCl2
_chemical_formula_sum 'Hg4 Se4 Cl8'
_cell_length_a 7.249
_cell_length_b 7.249
_cell_length_c 7.249
_cell_angle_alpha 90.00
_cell_angle_beta 90.00
_cell_angle_gamma 90.00
_space_group_name_H-M_alt 'F m -3 m'
_space_group_IT_number 225
_space_group_name_Hall '-F 4 2 3'
loop_
_atom_site_label
_atom_site_type_symbol
_atom_site_fract_x
_atom_site_fract_y
_atom_site_fract_z
Hg1 Hg 0.000 0.000 0.000
Se1 Se 0.000 0.000 0.500
Cl1 Cl 0.250 0.250 0.250
# V (Å³/atom): 23.81
# DFT total energy (eV/atom): -1.50
# DOS(E_F) (states/eV per cell): 4.78
# Uncorrected formation energy (meV per atom): 372
# Excess energy over the best structure of this formula in the dataset (eV/atom): 0.653

---

# ZrCd4W PBE optimized geometry
data_ZrCd4W
_chemical_formula_sum 'Zr4 Cd16 W4'
_cell_length_a 7.806
_cell_length_b 7.806
_cell_length_c 7.806
_cell_angle_alpha 90.00
_cell_angle_beta 90.00
_cell_angle_gamma 90.00
_space_group_name_H-M_alt 'F -4 3 m'
_space_group_IT_number 216
_space_group_name_Hall 'F -4 2 3'
loop_
_atom_site_label
_atom_site_type_symbol
_atom_site_fract_x
_atom_site_fract_y
_atom_site_fract_z
Zr1 Zr 0.000 0.000 0.000
Cd1 Cd 0.125 0.125 0.625
W1 W 0.250 0.250 0.250
# V (Å³/atom): 19.82
# DFT total energy (eV/atom): -3.79
# ΔE_f (eV/atom): 0.403
# DOS(E_F) (states/eV per cell): 11.07

---

# CeSm2Tc2C4 PBE optimized geometry
data_CeSm2Tc2C4
_chemical_formula_sum 'Ce2 Sm4 Tc4 C8'
_cell_length_a 13.474
_cell_length_b 3.525
_cell_length_c 6.221
_cell_angle_alpha 90.00
_cell_angle_beta 110.03
_cell_angle_gamma 90.00
_space_group_name_H-M_alt 'C 1 2/m 1'
_space_group_IT_number 12
loop_
_space_group_symop_operation_xyz
'x,y,z'
'-x,-y,-z'
'-x,y,-z'
'x,-y,z'
'x+1/2,y+1/2,z'
'-x+1/2,-y+1/2,-z'
'-x+1/2,y+1/2,-z'
'x+1/2,-y+1/2,z'
loop_
_atom_site_label
_atom_site_type_symbol
_atom_site_fract_x
_atom_site_fract_y
_atom_site_fract_z
Ce1 Ce 0.000 0.000 0.000
Sm1 Sm 0.136 0.000 0.533
Tc1 Tc 0.180 0.500 0.992
C1 C 0.039 0.500 0.749
C2 C 0.225 0.000 0.216
# V (Å³/atom): 15.42
# DFT total energy (eV/atom): -8.12
# ΔE_f (eV/atom): -0.004
# DOS(E_F) (states/eV per cell): 9.91

---

# Ba2HoPN4 PBE optimized geometry
data_Ba2HoPN4
_chemical_formula_sum 'Ba16 Ho8 P8 N32'
_cell_length_a 5.263
_cell_length_b 11.458
_cell_length_c 22.338
_cell_angle_alpha 90.00
_cell_angle_beta 90.00
_cell_angle_gamma 90.00
_space_group_name_H-M_alt 'F d d d'
_space_group_IT_number 70
loop_
_space_group_symop_operation_xyz
'x,y,z'
'-x,-y,-z'
'-x+1/4,-y+1/4,z'
'x+1/4,y+1/4,-z'
'x,-y+1/4,-z+1/4'
'-x,y+1/4,z+1/4'
'-x+1/4,y,-z+1/4'
'x+1/4,-y,z+1/4'
'x,y+1/2,z+1/2'
'-x,-y+1/2,-z+1/2'
'-x+1/4,-y+3/4,z+1/2'
'x+1/4,y+3/4,-z+1/2'
'x,-y+3/4,-z+3/4'
'-x,y+3/4,z+3/4'
'-x+1/4,y+1/2,-z+3/4'
'x+1/4,-y+1/2,z+3/4'
'x+1/2,y,z+1/2'
'-x+1/2,-y,-z+1/2'
'-x+3/4,-y+1/4,z+1/2'
'x+3/4,y+1/4,-z+1/2'
'x+1/2,-y+1/4,-z+3/4'
'-x+1/2,y+1/4,z+3/4'
'-x+3/4,y,-z+3/4'
'x+3/4,-y,z+3/4'
'x+1/2,y+1/2,z'
'-x+1/2,-y+1/2,-z'
'-x+3/4,-y+3/4,z'
'x+3/4,y+3/4,-z'
'x+1/2,-y+3/4,-z+1/4'
'-x+1/2,y+3/4,z+1/4'
'-x+3/4,y+1/2,-z+1/4'
'x+3/4,-y+1/2,z+1/4'
loop_
_atom_site_label
_atom_site_type_symbol
_atom_site_fract_x
_atom_site_fract_y
_atom_site_fract_z
Ba1 Ba 0.125 0.125 0.308
Ho1 Ho 0.125 0.125 0.125
P1 P 0.125 0.125 0.625
N1 N 0.058 0.282 0.834
# V (Å³/atom): 21.05
# DFT total energy (eV/atom): -6.47
# Uncorrected formation energy (meV per atom): -574

---

# Be2RuRh PBE optimized geometry
data_Be2RuRh
_chemical_formula_sum 'Be2 Ru1 Rh1'
_cell_length_a 2.776
_cell_length_b 2.776
_cell_length_c 5.660
_cell_angle_alpha 90.00
_cell_angle_beta 90.00
_cell_angle_gamma 90.00
_space_group_name_H-M_alt 'P 4 m m'
_space_group_IT_number 99
loop_
_space_group_symop_operation_xyz
'x,y,z'
'-y,x,z'
'-x,-y,z'
'y,-x,z'
'-x,y,z'
'y,x,z'
'x,-y,z'
'-y,-x,z'
loop_
_atom_site_label
_atom_site_type_symbol
_atom_site_fract_x
_atom_site_fract_y
_atom_site_fract_z
Be1 Be 0.000 0.000 0.000
Be2 Be 0.500 0.500 0.193
Ru1 Ru 0.500 0.500 0.760
Rh1 Rh 0.000 0.000 0.429
# V (Å³/atom): 10.91
# DFT total energy (eV/atom): -6.32
# ΔE_f (eV/atom): -0.298
# DOS(E_F) (states/eV per cell): 2.54

---

# Ba2YScBr PBE optimized geometry
data_Ba2YScBr
_chemical_formula_sum 'Ba2 Y1 Sc1 Br1'
_cell_length_a 7.027
_cell_length_b 7.027
_cell_length_c 5.338
_cell_angle_alpha 90.00
_cell_angle_beta 90.00
_cell_angle_gamma 90.00
_space_group_name_H-M_alt 'P 4/m m m'
_space_group_IT_number 123
_space_group_name_Hall '-P 4 2'
loop_
_atom_site_label
_atom_site_type_symbol
_atom_site_fract_x
_atom_site_fract_y
_atom_site_fract_z
Ba1 Ba 0.000 0.500 0.000
Y1 Y 0.000 0.000 0.000
Sc1 Sc 0.500 0.500 0.500
Br1 Br 0.000 0.000 0.500
# V (Å³/atom): 52.72
# DFT total energy (eV/atom): -3.26
# DOS(E_F) (states/eV per cell): 12.45
# Uncorrected formation energy (meV per atom): 408

---

# ZrInO2 PBE optimized geometry
data_ZrInO2
_chemical_formula_sum 'Zr3 In3 O6'
_cell_length_a 3.3057
_cell_length_b 3.3057
_cell_length_c 21.8748
_cell_angle_alpha 90.00
_cell_angle_beta 90.00
_cell_angle_gamma 120.00
_space_group_name_H-M_alt 'R -3 m'
_space_group_IT_number 166
_space_group_name_Hall '-R 3 2"'
loop_
_atom_site_label
_atom_site_type_symbol
_atom_site_fract_x
_atom_site_fract_y
_atom_site_fract_z
Zr1 Zr 0.0000 0.0000 0.0000
In1 In 0.0000 0.0000 0.5000
O1 O 0.0000 0.0000 0.3789
# V (Å³/atom): 17.25
# DFT total energy (eV/atom): -7.51
# DOS(E_F) (states/eV per cell): 6.38
# Uncorrected formation energy (meV per atom): -2208